# Pm2ZnCoO6

Pm2ZnCoO6 after structural relaxation (PBE with a Hubbard U, Alexandria via LeMat-Bulk).

Unit cell a=5.400 b=5.622 c=9.377 alpha=90.00 beta=125.12 gamma=90.00
Space group P2_1/c (No. 14)
Inequivalent atoms, fractional coordinates:
Pm: 0.235 0.061 0.250 (multiplicity 4)
Zn: 0.500 0.000 0.000 (multiplicity 2)
Co: 0.000 0.000 0.500 (multiplicity 2)
O: 0.141 0.218 0.951 (multiplicity 4)
O: 0.240 0.693 0.954 (multiplicity 4)
O: 0.330 0.025 0.739 (multiplicity 4)

Summary:
DFT total energy: -135.98 eV/cell